First-principles (PBE) data for an optimized crystal structure of RbCd2Sn3, as listed in Alexandria via LeMat-Bulk.

Summary:
distance to the lowest polymorph of the same formula	0.041	eV/atom
total moment	0.00	μB per formula unit
formation energy	-0.27	eV per formula unit

abc: 5.6704 8.4331 8.4331
angles: 98.89 90.00 90.00
Positions (direct):
Cd (0.5000, 0.7727, 0.2273)
Cd (0.0000, 0.2273, 0.7727)
Cd (0.5000, 0.2273, 0.7727)
Cd (0.0000, 0.7727, 0.2273)
Sn (0.2500, 0.9317, 0.9317)
Sn (0.2500, 0.5460, 0.9297)
Sn (0.7500, 0.0683, 0.0683)
Sn (0.7500, 0.0703, 0.4540)
Sn (0.2500, 0.9297, 0.5460)
Sn (0.7500, 0.4540, 0.0703)
Rb (0.7500, 0.6757, 0.6757)
Rb (0.2500, 0.3243, 0.3243)